# meta-GGA SCAN Y3Tl, PBEsol geometry
# Spin magnetization   0.00 μB/atom
# Fermi-level density of states   4.97 states/eV/f.u.
# Mass density   6.984 g cm⁻³
# Energy of formation   -0.26 eV/atom
data_Y3Tl
_symmetry_space_group_name_H-M 'P m m m'
_symmetry_Int_Tables_number 47
_cell_length_a 3.6191
_cell_length_b 4.6372
_cell_length_c 6.6743
_cell_angle_alpha 90.00
_cell_angle_beta 90.00
_cell_angle_gamma 90.00
loop_
_symmetry_equiv_pos_as_xyz
'x,y,z'
'-x,-y,-z'
'-x,-y,z'
'x,y,-z'
'x,-y,-z'
'-x,y,z'
'-x,y,-z'
'x,-y,z'
loop_
_atom_site_label
_atom_site_type_symbol
_atom_site_fract_x
_atom_site_fract_y
_atom_site_fract_z
_atom_site_occupancy
Y1 Y 0.0000 0.0000 0.0000 1
Y2 Y 0.5000 0.5000 0.2571 1
Tl1 Tl 0.0000 0.0000 0.5000 1



# meta-GGA SCAN Y3Tl, PBEsol geometry
# Spin magnetization   0.00 μB/atom
# Fermi-level density of states   4.14 states/eV/f.u.
# Mass density   6.813 g cm⁻³
# Energy of formation   -0.28 eV/atom
data_Y3Tl
_symmetry_space_group_name_H-M 'P 4/m m m'
_symmetry_Int_Tables_number 123
_symmetry_space_group_name_Hall '-P 4 2'
_cell_length_a 3.5628
_cell_length_b 3.5628
_cell_length_c 9.0458
_cell_angle_alpha 90.00
_cell_angle_beta 90.00
_cell_angle_gamma 90.00
loop_
_atom_site_label
_atom_site_type_symbol
_atom_site_fract_x
_atom_site_fract_y
_atom_site_fract_z
_atom_site_occupancy
Y1 Y 0.0000 0.0000 0.0000 1
Y2 Y 0.5000 0.5000 0.2728 1
Tl1 Tl 0.0000 0.0000 0.5000 1



# meta-GGA SCAN Y5Tl, PBEsol geometry
# Spin magnetization   0.12 μB/atom
# Fermi-level density of states   6.39 states/eV/f.u.
# Mass density   6.189 g cm⁻³
# Relative energy among the computed polymorphs   0.0042 eV per atom
# Energy of formation   -0.19 eV/atom
data_Y5Tl
_symmetry_space_group_name_H-M 'C 1 m 1'
_symmetry_Int_Tables_number 8
_cell_length_a 12.5243
_cell_length_b 3.5402
_cell_length_c 8.1300
_cell_angle_alpha 90.00
_cell_angle_beta 104.99
_cell_angle_gamma 90.00
loop_
_symmetry_equiv_pos_as_xyz
'x,y,z'
'x,-y,z'
'x+1/2,y+1/2,z'
'x+1/2,-y+1/2,z'
loop_
_atom_site_label
_atom_site_type_symbol
_atom_site_fract_x
_atom_site_fract_y
_atom_site_fract_z
_atom_site_occupancy
Y1 Y 0.0000 0.0000 0.0000 1
Y2 Y 0.0267 0.0000 0.6109 1
Y3 Y 0.1678 0.5000 0.3562 1
Y4 Y 0.2194 0.5000 0.9235 1
Y5 Y 0.3867 0.0000 0.2691 1
Tl1 Tl 0.3197 0.0000 0.6646 1



# meta-GGA SCAN Y5Tl4, PBEsol geometry
# Spin magnetization   0.00 μB/atom
# Fermi-level density of states   5.51 states/eV/f.u.
# Mass density   8.711 g cm⁻³
# Energy of formation   -0.62 eV/atom
data_Y5Tl4
_symmetry_space_group_name_H-M 'P 63/m c m'
_symmetry_Int_Tables_number 193
_symmetry_space_group_name_Hall '-P 6c 2'
_cell_length_a 9.1872
_cell_length_b 9.1872
_cell_length_c 6.5829
_cell_angle_alpha 90.00
_cell_angle_beta 90.00
_cell_angle_gamma 120.00
loop_
_atom_site_label
_atom_site_type_symbol
_atom_site_fract_x
_atom_site_fract_y
_atom_site_fract_z
_atom_site_occupancy
Y1 Y 0.0000 0.2880 0.2500 1
Y2 Y 0.3333 0.6667 0.0000 1
Tl1 Tl 0.0000 0.0000 0.0000 1
Tl2 Tl 0.0000 0.3746 0.7500 1